CeDyPuIn: relaxed, GGA-PBE.

Cell lengths 5.3437, 5.3437, 5.3437 Å; angles 60.00, 60.00, 60.00 degrees
With the nearest neighbours (Å) after each atom.
Fractional positions:
Ce 0.0000 0.0000 0.0000  4 Pu 3.27, 4 Dy 3.27
Dy 0.2500 0.2500 0.2500  4 In 3.27, 4 Ce 3.27
Pu 0.7500 0.7500 0.7500  4 In 3.27, 4 Ce 3.27
In 0.5000 0.5000 0.5000  4 Pu 3.27, 4 Dy 3.27

***

CeDyInRu: relaxed, GGA-PBE.

Cell lengths 5.1188, 5.1188, 5.1188 Å; angles 60.00, 60.00, 60.00 degrees
With the nearest neighbours (Å) after each atom.
Fractional positions:
Ce 0.0000 0.0000 0.0000  4 Ru 3.13, 4 In 3.13
Dy 0.5000 0.5000 0.5000  4 Ru 3.13, 4 In 3.13
In 0.2500 0.2500 0.2500  4 Ce 3.13, 4 Dy 3.13
Ru 0.7500 0.7500 0.7500  4 Dy 3.13, 4 Ce 3.13

***

CeDyInRu: relaxed, GGA-PBE.

Cell lengths 3.3695, 3.3695, 8.3871 Å; angles 90.00, 90.00, 90.00 degrees
With the nearest neighbours (Å) after each atom.
Fractional positions:
Ce 0.0000 0.0000 0.0000  4 Ru 2.94
Dy 0.0000 0.0000 0.5884  4 Ru 2.94
In 0.5000 0.5000 0.3000  4 In 3.37, 4 Dy 3.40, 4 Ce 3.47
Ru 0.5000 0.5000 0.7944  4 Ce 2.94, 4 Dy 2.94

***

CeDySc2In4: relaxed, GGA-PBE.

Cell lengths 9.0870, 9.0870, 9.0870 Å; angles 33.36, 33.36, 33.36 degrees
With the nearest neighbours (Å) after each atom.
Fractional positions:
Ce 0.0000 0.0000 0.0000  8 In 3.21-3.25
Dy 0.5000 0.5000 0.5000  8 In 3.17-3.18
Sc 0.2498 0.2498 0.2498  8 In 3.17-3.26
Sc 0.7502 0.7502 0.7502  8 In 3.17-3.26
In 0.1264 0.1264 0.1264  4 Sc 3.17-3.21, 3 Dy 3.18, 1 Ce 3.25
In 0.3767 0.3767 0.3767  1 Dy 3.17, 4 Sc 3.18-3.26, 3 Ce 3.21
In 0.6233 0.6233 0.6233  1 Dy 3.17, 4 Sc 3.18-3.26, 3 Ce 3.21
In 0.8736 0.8736 0.8736  4 Sc 3.17-3.21, 3 Dy 3.18, 1 Ce 3.25

***

Number 1: uncorrected energy -6.951 eV/atom. Number 2: uncorrected energy -5.873 eV/atom. Number 3: uncorrected energy -6.064 eV/atom. Number 4: uncorrected energy -4.666 eV/atom.